Here is a geometry-optimized CuRhAuN2 structure from the Alexandria database. Energies are from GGA-PBE.

Lattice parameters (Å, degrees): 3.7405 4.9740 3.7405 90.00 90.00 90.00
Closest atoms and distances in Å follow each position.
Sites, in units of the cell vectors:
Rh 0.0000 0.5000 0.0000  2 Cu 2.49, 4 Au 2.64
Au 0.5000 0.5000 0.5000  4 Rh 2.64
Cu 0.0000 0.0000 0.0000  4 N 1.87
N 0.0000 0.0000 0.5000  2 Cu 1.87
N 0.5000 0.0000 0.0000  2 Cu 1.87

**Space group**: P4/mmm (123)
**Total energy**: -4.431 eV/atom
**Formation energy (no corrections)**: 1.84 eV per atom
**Volume**: 70 Å³ per cell

Here is a geometry-optimized Cu2RhAuN structure from the Alexandria database. Energies are from GGA-PBE.

Lattice parameters (Å, degrees): 3.9940 3.9940 4.0119 90.00 90.00 90.00
Closest atoms and distances in Å follow each position.
Sites, in units of the cell vectors:
Rh 0.0000 0.0000 0.5000  2 N 2.01
Au 0.5000 0.5000 0.5000  4 Rh 2.82, 8 Cu 2.83
Cu 0.0000 0.5000 0.0000  2 N 2.00
Cu 0.5000 0.0000 0.0000  2 N 2.00
N 0.0000 0.0000 0.0000  4 Cu 2.00, 2 Rh 2.01

**Space group**: P4/mmm (123)
**Total energy**: -5.249 eV/atom
**Formation energy (no corrections)**: 0.18 eV per atom
**Volume**: 64 Å³ per cell

Here is a geometry-optimized CuAuS2N structure from the Alexandria database. Energies are from GGA-PBE.

Lattice parameters (Å, degrees): 5.0486 5.0486 3.7354 90.00 90.00 90.00
Closest atoms and distances in Å follow each position.
Sites, in units of the cell vectors:
S 0.0000 0.5000 0.0000  2 Au 2.52
S 0.5000 0.0000 0.0000  2 Au 2.52
Au 0.0000 0.0000 0.0000  2 N 1.87
Cu 0.5000 0.5000 0.5000  8 S 3.14
N 0.0000 0.0000 0.5000  2 Au 1.87

**Space group**: P4/mmm (123)
**Distance to the lowest polymorph of the same formula**: 0.285 eV/atom
**Total energy**: -3.388 eV/atom
**Formation energy (no corrections)**: 1.40 eV per atom
**Volume**: 95 Å³ per cell

Here is a geometry-optimized CuAuSN2 structure from the Alexandria database. Energies are from GGA-PBE.

Lattice parameters (Å, degrees): 3.8971 3.8971 5.9767 90.00 90.00 90.00
Closest atoms and distances in Å follow each position.
Sites, in units of the cell vectors:
S 0.0000 0.0000 0.5000  4 Cu 2.76, 2 Au 2.99
Au 0.0000 0.0000 0.0000  4 N 1.95
Cu 0.5000 0.5000 0.5000  4 S 2.76
N 0.0000 0.5000 0.0000  2 Au 1.95
N 0.5000 0.0000 0.0000  2 Au 1.95

**Space group**: P4/mmm (123)
**Distance to the lowest polymorph of the same formula**: 0.318 eV/atom
**Total energy**: -3.793 eV/atom
**Formation energy (no corrections)**: 1.84 eV per atom
**Volume**: 91 Å³ per cell

Here is a geometry-optimized CuAuSN2 structure from the Alexandria database. Energies are from GGA-PBE.

Lattice parameters (Å, degrees): 3.4549 6.8668 3.4549 90.00 90.00 90.00
Closest atoms and distances in Å follow each position.
Sites, in units of the cell vectors:
S 0.0000 0.0000 0.0000  4 N 1.73
Au 0.5000 0.5000 0.5000  4 Cu 2.44
Cu 0.0000 0.5000 0.0000  4 Au 2.44
N 0.0000 0.0000 0.5000  2 S 1.73
N 0.5000 0.0000 0.0000  2 S 1.73

**Space group**: P4/mmm (123)
**Distance to the lowest polymorph of the same formula**: 0.033 eV/atom
**Total energy**: -4.078 eV/atom
**Formation energy (no corrections)**: 1.55 eV per atom
**Volume**: 82 Å³ per cell

Here is a geometry-optimized CuAuS2N structure from the Alexandria database. Energies are from GGA-PBE.

Lattice parameters (Å, degrees): 4.7373 4.7373 3.5993 90.00 90.00 90.00
Closest atoms and distances in Å follow each position.
Sites, in units of the cell vectors:
S 0.0000 0.5000 0.0000  2 Cu 2.37
S 0.5000 0.0000 0.0000  2 Cu 2.37
Au 0.5000 0.5000 0.5000  8 S 2.97
Cu 0.0000 0.0000 0.0000  2 N 1.80
N 0.0000 0.0000 0.5000  2 Cu 1.80

**Space group**: P4/mmm (123)
**Distance to the lowest polymorph of the same formula**: 0.000 eV/atom
**Total energy**: -3.673 eV/atom
**Formation energy (no corrections)**: 1.12 eV per atom
**Volume**: 81 Å³ per cell

Here is a geometry-optimized CuAuSN2 structure from the Alexandria database. Energies are from GGA-PBE.

Lattice parameters (Å, degrees): 3.6691 3.6691 5.9321 90.00 90.00 90.00
Closest atoms and distances in Å follow each position.
Sites, in units of the cell vectors:
S 0.0000 0.0000 0.5000  4 Au 2.59
Au 0.5000 0.5000 0.5000  4 S 2.59
Cu 0.0000 0.0000 0.0000  4 N 1.83
N 0.0000 0.5000 0.0000  2 Cu 1.83
N 0.5000 0.0000 0.0000  2 Cu 1.83

**Space group**: P4/mmm (123)
**Distance to the lowest polymorph of the same formula**: 0.000 eV/atom
**Total energy**: -4.111 eV/atom
**Formation energy (no corrections)**: 1.52 eV per atom
**Volume**: 80 Å³ per cell

Here is a geometry-optimized Sc2CuAuN structure from the Alexandria database. Energies are from GGA-PBE.

Lattice parameters (Å, degrees): 5.1206 3.4340 5.1206 90.00 90.00 90.00
Closest atoms and distances in Å follow each position.
Sites, in units of the cell vectors:
Sc 0.0000 0.0000 0.5000  2 Cu 2.56
Sc 0.5000 0.0000 0.0000  2 Cu 2.56
Au 0.5000 0.5000 0.5000  8 Sc 3.08, 2 Au 3.43
Cu 0.0000 0.0000 0.0000  2 N 1.72
N 0.0000 0.5000 0.0000  2 Cu 1.72

**Space group**: P4/mmm (123)
**Total energy**: -5.524 eV/atom
**Formation energy (no corrections)**: 0.15 eV per atom
**Volume**: 90 Å³ per cell

Here is a geometry-optimized Sr2CuAuN structure from the Alexandria database. Energies are from GGA-PBE.

Lattice parameters (Å, degrees): 4.0361 6.9543 8.7356 108.80 90.00 90.00
Closest atoms and distances in Å follow each position.
Sites, in units of the cell vectors:
Sr 0.7500 0.8100 0.6258  2 N 2.68
Sr 0.7500 0.7977 0.0338  3 N 2.51-2.73
Sr 0.2500 0.1900 0.3742  2 N 2.68
Sr 0.2500 0.2023 0.9662  3 N 2.51-2.73
Cu 0.2500 0.5411 0.7532  1 N 1.86
Cu 0.7500 0.4589 0.2468  1 N 1.86
Au 0.2500 0.6980 0.3062  2 Cu 2.56
Au 0.7500 0.3020 0.6938  2 Cu 2.56
N 0.2500 0.8236 0.8315  1 Cu 1.86
N 0.7500 0.1764 0.1685  1 Cu 1.86

**Space group**: P2_1/m (11)
**Distance to the lowest polymorph of the same formula**: 0.012 eV/atom
**Total energy**: -4.312 eV/atom
**Formation energy (no corrections)**: -0.50 eV per atom
**Volume**: 232 Å³ per cell

Here is a geometry-optimized Sr2CuAuN structure from the Alexandria database. Energies are from GGA-PBE.

Lattice parameters (Å, degrees): 5.3880 5.3880 3.7729 90.00 90.00 90.00
Closest atoms and distances in Å follow each position.
Sites, in units of the cell vectors:
Sr 0.0000 0.5000 0.0000  2 N 2.69
Sr 0.5000 0.0000 0.0000  2 N 2.69
Au 0.5000 0.5000 0.5000  8 Sr 3.29
Cu 0.0000 0.0000 0.5000  2 N 1.89
N 0.0000 0.0000 0.0000  2 Cu 1.89

**Space group**: P4/mmm (123)
**Distance to the lowest polymorph of the same formula**: 0.000 eV/atom
**Total energy**: -4.324 eV/atom
**Formation energy (no corrections)**: -0.51 eV per atom
**Volume**: 110 Å³ per cell

Here is a geometry-optimized CuTe2AuN structure from the Alexandria database. Energies are from GGA-PBE.

Lattice parameters (Å, degrees): 5.4102 5.4102 3.5020 90.00 90.00 90.00
Closest atoms and distances in Å follow each position.
Sites, in units of the cell vectors:
Te 0.0000 0.5000 0.0000  2 Cu 2.71
Te 0.5000 0.0000 0.0000  2 Cu 2.71
Au 0.5000 0.5000 0.5000  8 Te 3.22, 2 Au 3.50
Cu 0.0000 0.0000 0.0000  2 N 1.75
N 0.0000 0.0000 0.5000  2 Cu 1.75

**Space group**: P4/mmm (123)
**Distance to the lowest polymorph of the same formula**: 0.000 eV/atom
**Total energy**: -3.600 eV/atom
**Formation energy (no corrections)**: 0.80 eV per atom
**Volume**: 103 Å³ per cell

Here is a geometry-optimized CuTe2AuN structure from the Alexandria database. Energies are from GGA-PBE.

Lattice parameters (Å, degrees): 5.7069 5.7069 3.7288 90.00 90.00 90.00
Closest atoms and distances in Å follow each position.
Sites, in units of the cell vectors:
Te 0.0000 0.5000 0.0000  2 Au 2.85
Te 0.5000 0.0000 0.0000  2 Au 2.85
Au 0.0000 0.0000 0.0000  2 N 1.86
Cu 0.5000 0.5000 0.5000  8 Te 3.41, 2 Cu 3.73
N 0.0000 0.0000 0.5000  2 Au 1.86

**Space group**: P4/mmm (123)
**Distance to the lowest polymorph of the same formula**: 0.350 eV/atom
**Total energy**: -3.251 eV/atom
**Formation energy (no corrections)**: 1.15 eV per atom
**Volume**: 121 Å³ per cell

Here is a geometry-optimized ZnCuAuN2 structure from the Alexandria database. Energies are from GGA-PBE.

Lattice parameters (Å, degrees): 3.7019 5.5132 3.7019 90.00 90.00 90.00
Closest atoms and distances in Å follow each position.
Sites, in units of the cell vectors:
Zn 0.5000 0.5000 0.5000  4 Au 2.62
Au 0.0000 0.5000 0.0000  4 Zn 2.62, 2 Cu 2.76
Cu 0.0000 0.0000 0.0000  4 N 1.85
N 0.0000 0.0000 0.5000  2 Cu 1.85
N 0.5000 0.0000 0.0000  2 Cu 1.85

**Space group**: P4/mmm (123)
**Total energy**: -3.685 eV/atom
**Formation energy (no corrections)**: 1.37 eV per atom
**Volume**: 76 Å³ per cell

Here is a geometry-optimized Zr2CuAuN structure from the Alexandria database. Energies are from GGA-PBE.

Lattice parameters (Å, degrees): 4.4893 4.4893 3.9669 90.00 90.00 90.00
Closest atoms and distances in Å follow each position.
Sites, in units of the cell vectors:
Au 0.5000 0.5000 0.5000  8 Zr 3.00, 4 Cu 3.17
Cu 0.0000 0.0000 0.5000  2 N 1.98
Zr 0.0000 0.5000 0.0000  2 N 2.24
Zr 0.5000 0.0000 0.0000  2 N 2.24
N 0.0000 0.0000 0.0000  2 Cu 1.98

**Space group**: P4/mmm (123)
**Total energy**: -7.239 eV/atom
**Formation energy (no corrections)**: -0.68 eV per atom
**Volume**: 80 Å³ per cell

Here is a geometry-optimized NaCuAu3 structure from the Alexandria database. Energies are from GGA-PBE.

Lattice parameters (Å, degrees): 5.1889 5.6397 7.1489 113.23 90.00 90.00
Closest atoms and distances in Å follow each position.
Sites, in units of the cell vectors:
Na 0.2500 0.4123 0.8245  8 Au 3.04-3.33, 4 Cu 3.31
Na 0.7500 0.5877 0.1755  8 Au 3.04-3.33, 4 Cu 3.31
Cu 0.0000 0.0000 0.0000  2 Cu 2.59, 6 Au 2.63-2.68
Cu 0.5000 0.0000 0.0000  2 Cu 2.59, 6 Au 2.63-2.68
Au 0.2500 0.8259 0.6517  2 Cu 2.63, 2 Au 2.79
Au 0.7500 0.1741 0.3483  2 Cu 2.63, 2 Au 2.79
Au 0.2500 0.3928 0.2846  2 Cu 2.68, 5 Au 2.79-2.98
Au 0.7500 0.6072 0.7154  2 Cu 2.68, 5 Au 2.79-2.98
Au 0.2500 0.8918 0.2846  2 Cu 2.68, 5 Au 2.79-2.98
Au 0.7500 0.1082 0.7154  2 Cu 2.68, 5 Au 2.79-2.98

**Space group**: Cmcm (63)
**Distance to the lowest polymorph of the same formula**: 0.000 eV/atom
**Formation enthalpy at 0 K**: -0.8 eV per formula unit
**Total energy**: -3.214 eV/atom
**Volume**: 192 Å³ per cell

Here is a geometry-optimized NaCuAu11 structure from the Alexandria database. Energies are from GGA-PBE.

Lattice parameters (Å, degrees): 5.4585 6.9333 7.5190 82.87 68.72 69.99
Closest atoms and distances in Å follow each position.
Sites, in units of the cell vectors:
Na 0.0000 0.0000 0.0000  14 Au 3.34-3.47, 2 Cu 3.60
Cu 0.5000 0.5000 0.0000  6 Au 2.63-2.73
Au 0.3031 0.2178 0.2083  1 Cu 2.63, 7 Au 2.81-2.94
Au 0.6969 0.7822 0.7917  1 Cu 2.63, 7 Au 2.81-2.94
Au 0.4887 0.7822 0.2083  1 Cu 2.63, 7 Au 2.81-2.94
Au 0.5113 0.2178 0.7917  1 Cu 2.63, 7 Au 2.81-2.94
Au 0.3411 0.6415 0.6601  8 Au 2.85-3.14, 1 Cu 2.94
Au 0.6589 0.3585 0.3399  8 Au 2.85-3.14, 1 Cu 2.94
Au 0.9988 0.3585 0.6601  8 Au 2.85-3.14, 1 Cu 2.94
Au 0.0012 0.6415 0.3399  8 Au 2.85-3.14, 1 Cu 2.94
Au 0.0000 0.5000 0.0000  2 Cu 2.73, 8 Au 2.81-2.85
Au 0.5000 0.0000 0.5000  10 Au 2.73-2.97
Au 0.0000 0.0000 0.5000  10 Au 2.73-2.97

**Space group**: C2/m (12)
**Formation enthalpy at 0 K**: -0.7 eV per formula unit
**Total energy**: -3.246 eV/atom
**Volume**: 249 Å³ per cell

Here is a geometry-optimized NaCu6Au6 structure from the Alexandria database. Energies are from GGA-PBE.

Lattice parameters (Å, degrees): 5.1225 6.8459 6.8459 82.84 68.03 68.03
Closest atoms and distances in Å follow each position.
Sites, in units of the cell vectors:
Na 0.0000 0.0000 0.0000  8 Au 3.02-3.08, 4 Cu 3.35
Cu 0.0000 0.5000 0.0000  4 Cu 2.56-2.57, 6 Au 2.68-2.72
Cu 0.5000 0.5000 0.0000  4 Cu 2.56-2.57, 6 Au 2.68-2.72
Cu 0.0000 0.0000 0.5000  4 Cu 2.56-2.57, 6 Au 2.68-2.72
Cu 0.5000 0.0000 0.5000  4 Cu 2.56-2.57, 6 Au 2.68-2.72
Cu 0.5000 0.7609 0.2391  4 Cu 2.57, 6 Au 2.69-2.76
Cu 0.5000 0.2391 0.7609  4 Cu 2.57, 6 Au 2.69-2.76
Au 0.3400 0.6600 0.6600  6 Cu 2.72-2.76, 3 Au 2.85-2.93, 1 Na 3.03
Au 0.6600 0.3400 0.3400  6 Cu 2.72-2.76, 3 Au 2.85-2.93, 1 Na 3.03
Au 0.0000 0.3395 0.6605  6 Cu 2.69-2.72, 1 Au 2.91
Au 0.0000 0.6605 0.3395  6 Cu 2.69-2.72, 1 Au 2.91
Au 0.3211 0.1789 0.1789  6 Cu 2.68-2.69, 2 Au 2.93
Au 0.6789 0.8211 0.8211  6 Cu 2.68-2.69, 2 Au 2.93

**Space group**: Immm (71)
**Formation enthalpy at 0 K**: -1.0 eV per formula unit
**Total energy**: -3.584 eV/atom
**Volume**: 206 Å³ per cell

Here is a geometry-optimized NaCu5Au7 structure from the Alexandria database. Energies are from GGA-PBE.

Lattice parameters (Å, degrees): 5.1995 6.9440 6.9440 81.68 68.01 68.01
Closest atoms and distances in Å follow each position.
Sites, in units of the cell vectors:
Na 0.9969 0.0031 0.0031  10 Au 3.06-3.30, 2 Cu 3.38
Cu 0.5022 0.9942 0.5037  3 Cu 2.58-2.61, 7 Au 2.61-2.80
Cu 0.9999 0.9942 0.5037  3 Cu 2.58-2.61, 7 Au 2.61-2.80
Cu 0.5022 0.5037 0.9942  3 Cu 2.58-2.61, 7 Au 2.61-2.80
Cu 0.9999 0.5037 0.9942  3 Cu 2.58-2.61, 7 Au 2.61-2.80
Cu 0.7327 0.7673 0.7673  4 Cu 2.58, 6 Au 2.75-2.81
Au 0.6537 0.3463 0.3463  4 Cu 2.80, 5 Au 2.83-3.03
Au 0.3323 0.6677 0.6677  6 Cu 2.69-2.75, 1 Au 2.93
Au 0.9964 0.3442 0.6629  5 Cu 2.70-2.81, 4 Au 2.89-2.93
Au 0.9964 0.6629 0.3442  5 Cu 2.70-2.81, 4 Au 2.89-2.93
Au 0.2752 0.2248 0.2248  4 Cu 2.67, 6 Au 2.79-2.93
Au 0.5060 0.7922 0.1958  5 Cu 2.61-2.76, 3 Au 2.79-2.89
Au 0.5060 0.1958 0.7922  5 Cu 2.61-2.76, 3 Au 2.79-2.89

**Space group**: Imm2 (44)
**Formation enthalpy at 0 K**: -1.0 eV per formula unit
**Total energy**: -3.521 eV/atom
**Volume**: 216 Å³ per cell

Here is a geometry-optimized NaCuAu3 structure from the Alexandria database. Energies are from GGA-PBE.

Lattice parameters (Å, degrees): 4.8837 4.8837 4.8837 90.00 90.00 90.00
Closest atoms and distances in Å follow each position.
Sites, in units of the cell vectors:
Na 0.5000 0.5000 0.5000  12 Au 3.45
Au 0.0000 0.5000 0.0000  2 Cu 2.44
Au 0.0000 0.0000 0.5000  2 Cu 2.44
Au 0.5000 0.0000 0.0000  2 Cu 2.44
Cu 0.0000 0.0000 0.0000  6 Au 2.44

**Space group**: Pm-3m (221)
**Distance to the lowest polymorph of the same formula**: 0.302 eV/atom
**Formation enthalpy at 0 K**: 0.7 eV per formula unit
**Total energy**: -2.912 eV/atom
**Volume**: 116 Å³ per cell

Here is a geometry-optimized NaCuAu3 structure from the Alexandria database. Energies are from GGA-PBE.

Lattice parameters (Å, degrees): 4.9128 4.9128 4.9128 90.00 90.00 90.00
Closest atoms and distances in Å follow each position.
Sites, in units of the cell vectors:
Na 0.0000 0.0000 0.0000  6 Au 2.46
Au 0.0000 0.5000 0.0000  2 Na 2.46
Au 0.0000 0.0000 0.5000  2 Na 2.46
Au 0.5000 0.0000 0.0000  2 Na 2.46
Cu 0.5000 0.5000 0.5000  12 Au 3.47

**Space group**: Pm-3m (221)
**Distance to the lowest polymorph of the same formula**: 1.200 eV/atom
**Formation enthalpy at 0 K**: 5.2 eV per formula unit
**Total energy**: -2.014 eV/atom
**Volume**: 119 Å³ per cell